Below is a relaxed UVAg2O6 crystal, with properties calculated at the PBE with a Hubbard U level.

Values from the calculation:
Energy = -0.2653 Ha/atom
Total moment = 1.00 μB per formula unit
ρ = 7773 kg/m3
Symmetry = C2/m (12)

abc: 5.5949 5.7825 5.6236
angles: 120.94 119.21 90.00
Positions (direct):
U (0.0000, 0.5000, 0.0000)
V (0.5000, 0.0000, 0.0000)
Ag (0.2412, 0.2485, 0.4969)
Ag (0.7588, 0.7515, 0.5031)
O (0.3600, 0.7707, 0.5413)
O (0.2058, 0.2011, 0.9070)
O (0.7942, 0.2941, 0.0930)
O (0.2058, 0.7059, 0.9070)
O (0.7942, 0.7989, 0.0930)
O (0.6400, 0.2293, 0.4587)